(1)
First-principles (PBE) data for crystalline Be6Os at its relaxed geometry, as listed in Alexandria via LeMat-Bulk.

The total magnetization comes out at 1.267 μB per formula unit. The calculation puts the polymorph energy (0 for the lowest one) at 11.32 eV per formula unit. The value obtained for the energy relative to the elements is 1.411 eV per atom. The value obtained for the total energy is -3.387 eV per atom.

a b c (Å): 5.318 5.318 5.318
angles (deg): 90.00 90.00 90.00
Space group Im-3m (No. 229)
Inequivalent atoms, fractional coordinates:
Be1 0.000 0.250 0.500 x12
Os1 0.000 0.000 0.000 x2



(2)
First-principles (PBE) data for crystalline KSnSBr2 at its relaxed geometry, as listed in Alexandria via LeMat-Bulk.

The total magnetization comes out at 0.000 μB per formula unit. The formation energy without anion corrections comes out at -82.4 kJ/mol of atoms. The value obtained for the total energy is -3.369 eV per atom.

a b c (Å): 5.804 5.804 4.987
angles (deg): 90.00 90.00 90.00
Space group P4/mmm (No. 123)
Inequivalent atoms, fractional coordinates:
K1 0.000 0.000 0.000 x1
Sn1 0.500 0.500 0.500 x1
S1 0.500 0.500 0.000 x1
Br1 0.000 0.500 0.500 x2



(3)
First-principles (PBE) data for crystalline FeNi at its relaxed geometry, as listed in Alexandria via LeMat-Bulk.

The total magnetization comes out at 3.209 μB per formula unit. The value obtained for the energy relative to the elements is -0.010 eV per atom. The value obtained for the total energy is -7.132 eV per atom.

a b c (Å): 9.361 2.493 4.390
angles (deg): 90.00 117.84 90.00
Space group C2/m (No. 12)
Inequivalent atoms, fractional coordinates:
Fe1 0.123 0.000 0.288 x4
Ni1 0.126 0.500 0.792 x4



(4)
First-principles (PBE) data for crystalline Au4O at its relaxed geometry, as listed in Alexandria via LeMat-Bulk.

The total magnetization comes out at 0.000 μB per formula unit. The formation energy without anion corrections comes out at 41.5 kJ/mol of atoms. The value obtained for the total energy is -3.183 eV per atom.

a b c (Å): 4.481 4.481 4.481
angles (deg): 90.00 90.00 90.00
Space group Pm-3m (No. 221)
Inequivalent atoms, fractional coordinates:
Au1 0.000 0.000 0.000 x1
Au2 0.000 0.500 0.500 x3
O1 0.500 0.500 0.500 x1



(5)
First-principles (PBE) data for crystalline SrGdMgAg at its relaxed geometry, as listed in Alexandria via LeMat-Bulk.

The total magnetization comes out at 7.240 μB per formula unit. The value obtained for the energy relative to the elements is -0.081 eV per atom. The value obtained for the total energy is -5.133 eV per atom.

a b c (Å): 7.764 7.764 7.764
angles (deg): 90.00 90.00 90.00
Space group F-43m (No. 216)
Inequivalent atoms, fractional coordinates:
Sr1 0.000 0.000 0.000 x4
Gd1 0.000 0.000 0.500 x4
Mg1 0.250 0.250 0.750 x4
Ag1 0.250 0.250 0.250 x4



(6)
First-principles (PBE) data for crystalline CaScAl2Fe at its relaxed geometry, as listed in Alexandria via LeMat-Bulk.

The total magnetization comes out at 0.298 μB per formula unit. The value obtained for the energy relative to the elements is -0.183 eV per atom. The value obtained for the total energy is -5.039 eV per atom.

a b c (Å): 4.703 4.703 4.656
angles (deg): 90.00 90.00 90.00
Space group P4/mmm (No. 123)
Inequivalent atoms, fractional coordinates:
Ca1 0.000 0.000 0.000 x1
Sc1 0.500 0.500 0.000 x1
Al1 0.000 0.500 0.500 x2
Fe1 0.500 0.500 0.500 x1



Among the records above, which one has the highest total energy? Au4O



Which value of total energy does entry 6 give? -5.039 eV per atom